1.
DFT (PBE) results for a geometry-optimized TaAsP2 structure.

Cell and atoms, written as POSCAR:
```
TaAsP2
1.0
0.0000 3.1717 3.1717
3.1717 0.0000 3.1717
3.1717 3.1717 0.0000
Ta As P
1 1 2
Cartesian
0.0000 0.0000 0.0000 Ta
1.5858 1.5858 1.5858 As
3.1717 3.1717 3.1717 P
4.7575 4.7575 4.7575 P
```

Summary:
E   -6.446 eV/atom

2.
DFT (PBE) results for a geometry-optimized Ta2AsP2 structure.

Cell and atoms, written as POSCAR:
```
Ta2AsP2
1.0
-1.7329 1.7329 6.6776
1.7329 -1.7329 6.6776
1.7329 1.7329 -6.6776
Ta As P
2 1 2
Cartesian
0.0000 0.0000 1.4879 Ta
0.0000 0.0000 11.8673 Ta
0.0000 0.0000 6.6776 As
1.7329 0.0000 3.3388 P
0.0000 1.7329 3.3388 P
```

Summary:
Offset from the most stable computed form   0.200 eV/atom

3.
DFT (PBE) results for a geometry-optimized TaAsP2 structure.

Cell and atoms, written as POSCAR:
```
TaAsP2
1.0
1.7660 -2.2417 0.0000
1.7660 2.2417 0.0000
0.0000 0.0000 8.9519
Ta As P
1 1 2
Cartesian
0.0000 0.0000 0.0000 Ta
0.0000 0.0000 4.4759 As
1.7660 0.0000 1.8426 P
1.7660 0.0000 7.1093 P
```

Summary:
E   -6.647 eV/atom

4.
DFT (PBE) results for a geometry-optimized Ta2AsP structure.

Cell and atoms, written as POSCAR:
```
Ta2AsP
1.0
3.2717 0.0000 0.0000
0.0000 4.7729 0.0000
-1.6290 0.0000 4.4856
Ta As P
2 1 1
Cartesian
0.0000 0.0000 0.0000 Ta
0.0061 2.3865 2.7487 Ta
1.6368 0.0000 1.9963 As
0.0010 2.3865 0.1736 P
```

Summary:
E   -8.767 eV/atom

5.
DFT (PBE) results for a geometry-optimized Ta2AsP structure.

Cell and atoms, written as POSCAR:
```
Ta2AsP
1.0
-2.7887 2.7887 5.8971
2.7887 -2.7887 5.8971
2.7887 2.7887 -5.8971
Ta As P
4 2 2
Cartesian
4.1830 1.2761 -1.4743 Ta
1.2761 1.3943 1.4743 Ta
-1.3943 1.5126 4.4228 Ta
1.5126 1.3943 7.3714 Ta
2.7887 0.0000 2.9485 As
0.0000 0.0000 5.8971 As
0.0000 0.0000 0.0000 P
0.0000 2.7887 2.9485 P
```

Summary:
E   -8.152 eV/atom

6.
DFT (PBE) results for a geometry-optimized TaAsP2 structure.

Cell and atoms, written as POSCAR:
```
TaAsP2
1.0
3.4270 0.0000 0.0000
0.0000 4.2089 0.0000
-1.7071 0.0000 4.5831
Ta As P
1 1 2
Cartesian
0.0000 0.0000 0.0000 Ta
1.7145 2.1044 0.8653 As
0.0062 0.0000 2.6924 P
1.7410 2.1044 3.2052 P
```

Summary:
E   -6.981 eV/atom

7.
DFT (PBE) results for a geometry-optimized Ta2AsP structure.

Cell and atoms, written as POSCAR:
```
Ta2AsP
1.0
4.5643 -1.6255 0.0000
4.5643 1.6255 0.0000
-1.0202 0.0000 4.4005
Ta As P
2 1 1
Cartesian
0.0000 0.0000 0.0000 Ta
1.3891 0.0000 2.6557 Ta
3.9591 0.0000 2.1403 As
6.5017 0.0000 0.4486 P
```

Summary:
E   -8.911 eV/atom

8.
DFT (PBE) results for a geometry-optimized TaAsP2 structure.

Cell and atoms, written as POSCAR:
```
TaAsP2
1.0
3.6177 0.0000 0.0000
0.0000 4.9082 0.0000
-0.2558 0.0000 3.9164
Ta As P
1 1 2
Cartesian
0.0000 0.0000 0.0000 Ta
1.6809 0.0000 1.9582 As
0.6261 2.4541 3.2415 P
2.7357 2.4541 0.6749 P
```

Summary:
E   -6.763 eV/atom

9.
DFT (PBE) results for a geometry-optimized Ta2AsP structure.

Cell and atoms, written as POSCAR:
```
Ta2AsP
1.0
-1.7934 1.7934 5.2442
1.7934 -1.7934 5.2442
1.7934 1.7934 -5.2442
Ta As P
2 1 1
Cartesian
0.0000 0.0000 0.0000 Ta
0.0000 1.7934 2.6221 Ta
1.7934 0.0000 2.6221 As
0.0000 0.0000 5.2442 P
```

Summary:
E   -8.526 eV/atom

10.
DFT (PBE) results for a geometry-optimized TaAsP2 structure.

Cell and atoms, written as POSCAR:
```
TaAsP2
1.0
1.6652 0.9614 6.7676
-1.6652 0.9614 6.7676
0.0000 -1.9228 6.7676
Ta As P
1 1 2
Cartesian
0.0000 0.0000 0.0000 Ta
0.0000 0.0000 15.3796 As
0.0000 0.0000 4.9791 P
0.0000 0.0000 10.3353 P
```

Summary:
E   -6.784 eV/atom

11.
DFT (PBE) results for a geometry-optimized TaAsP2 structure.

Cell and atoms, written as POSCAR:
```
TaAsP2
1.0
-1.6729 2.2222 4.1196
1.6729 -2.2222 4.1196
1.6729 2.2222 -4.1196
Ta As P
1 1 2
Cartesian
0.0000 0.0000 0.0000 Ta
0.0000 2.2222 1.8094 As
1.6729 0.0000 2.4158 P
0.0000 0.0000 4.0651 P
```

Summary:
E   -6.773 eV/atom

12.
DFT (PBE) results for a geometry-optimized Ta2AsP structure.

Cell and atoms, written as POSCAR:
```
Ta2AsP
1.0
3.1598 0.0000 0.0000
0.0000 3.1598 0.0000
0.0000 0.0000 6.3432
Ta As P
2 1 1
Cartesian
0.0000 0.0000 1.5250 Ta
0.0000 0.0000 4.8182 Ta
1.5799 1.5799 3.1716 As
1.5799 1.5799 0.0000 P
```

Summary:
E   -8.848 eV/atom

13.
DFT (PBE) results for a geometry-optimized Ta2AsP structure.

Cell and atoms, written as POSCAR:
```
Ta2AsP
1.0
-1.6093 2.2050 4.7677
1.6093 -2.2050 4.7677
1.6093 2.2050 -4.7677
Ta As P
2 1 1
Cartesian
0.0000 0.0000 0.0000 Ta
0.0000 2.2050 2.0774 Ta
1.6093 0.0000 2.1485 As
0.0000 0.0000 4.9164 P
```

Summary:
E   -8.638 eV/atom

14.
DFT (PBE) results for a geometry-optimized TaAsP2 structure.

Cell and atoms, written as POSCAR:
```
TaAsP2
1.0
-2.8925 2.8925 5.3246
2.8925 -2.8925 5.3246
2.8925 2.8925 -5.3246
Ta As P
2 2 4
Cartesian
0.0000 0.0000 0.0000 Ta
0.0000 2.8925 2.6623 Ta
2.8925 0.0000 2.6623 As
0.0000 0.0000 5.3246 As
4.3388 1.4062 -1.3311 P
1.4062 1.4463 1.3311 P
-1.4463 1.4863 3.9934 P
1.4863 1.4463 6.6557 P
```

Summary:
E   -6.594 eV/atom

15.
DFT (PBE) results for a geometry-optimized TaAsP2 structure.

Cell and atoms, written as POSCAR:
```
TaAsP2
1.0
-1.7222 2.2581 3.9773
1.7222 -2.2581 3.9773
1.7222 2.2581 -3.9773
Ta As P
1 1 2
Cartesian
0.0000 0.0000 0.0000 Ta
0.0000 0.0000 3.9773 As
1.7222 0.0000 2.1951 P
0.0000 2.2581 1.7822 P
```

Summary:
E   -6.693 eV/atom

16.
DFT (PBE) results for a geometry-optimized Ta2AsP structure.

Cell and atoms, written as POSCAR:
```
Ta2AsP
1.0
1.6079 0.9283 7.9845
-1.6079 0.9283 7.9845
0.0000 -1.8567 7.9845
Ta As P
2 1 1
Cartesian
0.0000 0.0000 0.0000 Ta
0.0000 0.0000 5.8272 Ta
0.0000 0.0000 11.8533 As
0.0000 0.0000 17.6731 P
```

Summary:
E   -8.519 eV/atom

17.
DFT (PBE) results for a geometry-optimized TaAsP2 structure.

Cell and atoms, written as POSCAR:
```
TaAsP2
1.0
3.2644 0.0000 0.0000
0.0000 3.2644 0.0000
0.0000 0.0000 6.2036
Ta As P
1 1 2
Cartesian
0.0000 0.0000 0.0000 Ta
1.6322 1.6322 1.5758 As
0.0000 0.0000 3.5775 P
1.6322 1.6322 5.0550 P
```

Summary:
E   -6.824 eV/atom

18.
DFT (PBE) results for a geometry-optimized TaAsP2 structure.

Cell and atoms, written as POSCAR:
```
TaAsP2
1.0
3.2345 0.0000 0.0000
0.0000 3.2345 0.0000
0.0000 0.0000 6.2310
Ta As P
1 1 2
Cartesian
0.0000 0.0000 0.0000 Ta
0.0000 0.0000 3.1155 As
1.6172 1.6172 1.2775 P
1.6172 1.6172 4.9536 P
```

Summary:
E   -6.960 eV/atom

19.
DFT (PBE) results for a geometry-optimized TaAsP2 structure.

Cell and atoms, written as POSCAR:
```
TaAsP2
1.0
3.2345 0.0000 0.0000
0.0000 4.0550 0.0000
0.0000 0.0000 4.9197
Ta As P
1 1 2
Cartesian
0.0000 0.0000 0.0000 Ta
0.0000 2.0275 2.4598 As
1.6173 0.0000 2.4598 P
1.6173 2.0275 0.0000 P
```

Summary:
E   -6.587 eV/atom

20.
DFT (PBE) results for a geometry-optimized Ta2AsP structure.

Cell and atoms, written as POSCAR:
```
Ta2AsP
1.0
0.0000 3.2136 3.2136
3.2136 0.0000 3.2136
3.2136 3.2136 0.0000
Ta As P
2 1 1
Cartesian
0.0000 0.0000 0.0000 Ta
1.6068 1.6068 1.6068 Ta
3.2136 3.2136 3.2136 As
4.8205 4.8205 4.8205 P
```

Summary:
E   -8.237 eV/atom

21.
DFT (PBE) results for a geometry-optimized Ta2AsP structure.

Cell and atoms, written as POSCAR:
```
Ta2AsP
1.0
3.1481 -1.8127 0.0000
3.1481 1.8127 0.0000
-2.0911 0.0000 6.1378
Ta As P
2 1 1
Cartesian
1.0518 0.0000 1.2324 Ta
3.1533 0.0000 4.9055 Ta
-1.0456 0.0000 3.0689 As
3.1481 0.0000 0.0000 P
```

Summary:
E   -8.797 eV/atom

22.
DFT (PBE) results for a geometry-optimized TaAsP2 structure.

Cell and atoms, written as POSCAR:
```
TaAsP2
1.0
1.7533 -2.2203 0.0000
1.7533 2.2203 0.0000
0.0000 0.0000 9.0508
Ta As P
1 1 2
Cartesian
0.0000 0.0000 0.0000 Ta
1.7533 0.0000 6.9711 As
0.0000 0.0000 4.1953 P
1.7533 0.0000 1.8511 P
```

Summary:
E   -6.498 eV/atom

23.
DFT (PBE) results for a geometry-optimized Ta2AsP structure.

Cell and atoms, written as POSCAR:
```
Ta2AsP
1.0
3.3571 0.0000 0.0000
0.0000 3.3571 0.0000
0.0000 0.0000 5.8687
Ta As P
2 1 1
Cartesian
0.0000 0.0000 0.0000 Ta
1.6785 1.6785 1.8485 Ta
0.0000 0.0000 3.0138 As
1.6785 1.6785 4.9264 P
```

Summary:
E   -8.993 eV/atom

24.
DFT (PBE) results for a geometry-optimized TaAsP2 structure.

Cell and atoms, written as POSCAR:
```
TaAsP2
1.0
4.3079 -1.6482 0.0000
4.3079 1.6482 0.0000
-0.1753 0.0000 4.8472
Ta As P
1 1 2
Cartesian
0.0000 0.0000 0.0000 Ta
4.2203 0.0000 2.4236 As
2.3163 0.0000 3.9923 P
6.1243 0.0000 0.8549 P
```

Summary:
E   -6.877 eV/atom

25.
DFT (PBE) results for a geometry-optimized Ta2AsP structure.

Cell and atoms, written as POSCAR:
```
Ta2AsP
1.0
0.0000 3.1641 3.1641
3.1641 0.0000 3.1641
3.1641 3.1641 0.0000
Ta As P
2 1 1
Cartesian
1.5820 1.5820 1.5820 Ta
4.7461 4.7461 4.7461 Ta
0.0000 0.0000 0.0000 As
3.1641 3.1641 3.1641 P
```

Summary:
E   -8.829 eV/atom

26.
DFT (PBE) results for a geometry-optimized TaAsP2 structure.

Cell and atoms, written as POSCAR:
```
TaAsP2
1.0
1.6055 0.9269 7.5958
-1.6055 0.9269 7.5958
0.0000 -1.8538 7.5958
Ta As P
1 1 2
Cartesian
0.0000 0.0000 0.0000 Ta
0.0000 0.0000 11.3938 As
0.0000 0.0000 5.8516 P
0.0000 0.0000 16.9359 P
```

Summary:
E   -6.810 eV/atom

27.
DFT (PBE) results for a geometry-optimized Ta2AsP structure.

Cell and atoms, written as POSCAR:
```
Ta2AsP
1.0
1.7440 -2.3344 0.0000
1.7440 2.3344 0.0000
0.0000 0.0000 9.6890
Ta As P
2 1 1
Cartesian
0.0000 0.0000 0.0000 Ta
1.7440 0.0000 2.2805 Ta
0.0000 0.0000 4.2887 As
1.7440 0.0000 7.8826 P
```

Summary:
E   -8.656 eV/atom

28.
DFT (PBE) results for a geometry-optimized TaAsP2 structure.

Cell and atoms, written as POSCAR:
```
TaAsP2
1.0
-1.8837 1.8837 4.4844
1.8837 -1.8837 4.4844
1.8837 1.8837 -4.4844
Ta As P
1 1 2
Cartesian
0.0000 0.0000 0.0000 Ta
1.8837 0.0000 2.2422 As
0.0000 0.0000 4.4844 P
0.0000 1.8837 2.2422 P
```

Summary:
E   -6.587 eV/atom

29.
DFT (PBE) results for a geometry-optimized TaAs4P structure.

Cell and atoms, written as POSCAR:
```
TaAs4P
1.0
0.0000 3.8189 3.8189
3.8189 0.0000 3.8189
3.8189 3.8189 0.0000
Ta As P
1 4 1
Cartesian
0.0000 0.0000 0.0000 Ta
4.7760 2.8617 2.8617 As
2.8617 4.7760 2.8617 As
2.8617 2.8617 4.7760 As
4.7760 4.7760 4.7760 As
1.9094 1.9094 1.9094 P
```

Summary:
E   -5.223 eV/atom

30.
DFT (PBE) results for a geometry-optimized Ta2AsP structure.

Cell and atoms, written as POSCAR:
```
Ta2AsP
1.0
2.8400 0.0000 0.0000
0.0000 2.8400 0.0000
0.0000 0.0000 9.7326
Ta As P
2 1 1
Cartesian
0.0000 0.0000 0.0000 Ta
1.4200 1.4200 2.3247 Ta
0.0000 0.0000 4.3750 As
1.4200 1.4200 7.8788 P
```

Summary:
E   -8.463 eV/atom